A plane-wave DFT calculation with GGA-PBE was carried out for Tb2Nd2DyY after structural relaxation.

abc: 6.8279 8.9498 6.5782
angles: 95.06 90.00 90.00
Atoms (fractional coordinates):
Tb 0.0002 0.1694 0.1680
Tb 0.4998 0.1694 0.1680
Tb 0.9998 0.8306 0.8320
Tb 0.5002 0.8306 0.8320
Dy 0.7500 0.5020 0.9221
Dy 0.2500 0.4980 0.0779
Nd 0.7500 0.4820 0.4102
Nd 0.2500 0.5180 0.5898
Nd 0.2500 0.1509 0.6769
Nd 0.7500 0.8491 0.3231
Y 0.2500 0.8471 0.3232
Y 0.7500 0.1529 0.6768

A plane-wave DFT calculation with GGA-PBE was carried out for TbNd4Dy2Y2 after structural relaxation.

abc: 5.1080 8.0835 8.0731
angles: 107.45 90.00 108.42
Atoms (fractional coordinates):
Tb 0.0000 0.0000 0.0000
Nd 0.4454 0.8907 0.6696
Nd 0.2222 0.4444 0.3314
Nd 0.7778 0.5556 0.6686
Nd 0.5546 0.1093 0.3304
Dy 0.3329 0.6659 0.0000
Dy 0.6671 0.3341 0.0000
Y 0.8885 0.7770 0.3306
Y 0.1115 0.2230 0.6694

A plane-wave DFT calculation with GGA-PBE was carried out for Tb6NdDy2Y3 after structural relaxation.

abc: 6.1814 6.1814 11.8383
angles: 94.97 94.97 119.96
Atoms (fractional coordinates):
Y 0.1669 0.8331 0.5000
Y 0.5000 0.5000 0.5000
Y 0.8331 0.1669 0.5000
Tb 0.4177 0.0837 0.2505
Tb 0.5823 0.9163 0.7495
Tb 0.9163 0.5823 0.7495
Tb 0.0837 0.4177 0.2505
Tb 0.2504 0.2504 0.7497
Tb 0.7496 0.7496 0.2503
Dy 0.6667 0.3333 0.0000
Dy 0.3333 0.6667 0.0000
Nd 0.0000 0.0000 0.0000

A plane-wave DFT calculation with GGA-PBE was carried out for Tb2NdDyY6 after structural relaxation.

abc: 9.7415 8.7828 8.7828
angles: 117.44 94.81 94.81
Atoms (fractional coordinates):
Y 0.8804 0.2943 0.5033
Y 0.0561 0.1200 0.7500
Y 0.5561 0.7500 0.1200
Y 0.9439 0.8800 0.2500
Y 0.6825 0.0234 0.5751
Y 0.8175 0.4249 0.9766
Y 0.3175 0.9766 0.4249
Y 0.6196 0.4967 0.7057
Y 0.1196 0.7057 0.4967
Y 0.3804 0.5033 0.2943
Y 0.4439 0.2500 0.8800
Y 0.1825 0.5751 0.0234
Dy 0.2500 0.9779 0.0221
Dy 0.7500 0.0221 0.9779
Tb 0.5449 0.1914 0.2915
Tb 0.0449 0.2915 0.1914
Tb 0.4551 0.8086 0.7085
Tb 0.9551 0.7085 0.8086
Nd 0.2500 0.4058 0.5942
Nd 0.7500 0.5942 0.4058

A plane-wave DFT calculation with GGA-PBE was carried out for TbNd6Dy3Y2 after structural relaxation.

abc: 6.2869 6.2869 11.8905
angles: 95.04 95.04 120.00
Atoms (fractional coordinates):
Nd 0.5836 0.9163 0.7492
Nd 0.4164 0.0837 0.2508
Nd 0.0837 0.4164 0.2508
Nd 0.7511 0.7511 0.2507
Nd 0.9163 0.5836 0.7492
Nd 0.2489 0.2489 0.7493
Dy 0.8333 0.1667 0.5000
Dy 0.1667 0.8333 0.5000
Dy 0.5000 0.5000 0.5000
Y 0.3334 0.6666 0.0000
Y 0.6666 0.3334 0.0000
Tb 0.0000 0.0000 0.0000

A plane-wave DFT calculation with GGA-PBE was carried out for Tb2NdDy2Y4 after structural relaxation.

abc: 3.6067 9.5327 9.5832
angles: 115.23 90.00 100.90
Atoms (fractional coordinates):
Y 0.4810 0.9619 0.6643
Y 0.1860 0.3721 0.3344
Y 0.8140 0.6279 0.6656
Y 0.5190 0.0381 0.3357
Tb 0.8516 0.7033 0.3330
Tb 0.1484 0.2967 0.6670
Dy 0.3322 0.6645 0.0000
Dy 0.6678 0.3355 0.0000
Nd 0.0000 0.0000 0.0000

A plane-wave DFT calculation with GGA-PBE was carried out for TbNd2Dy5Y after structural relaxation.

abc: 8.6343 8.6343 9.9817
angles: 115.63 115.63 90.00
Atoms (fractional coordinates):
Dy 0.3533 0.8533 0.2804
Dy 0.0000 0.0000 0.0000
Dy 0.6467 0.1467 0.7196
Dy 0.8533 0.9271 0.2804
Dy 0.9271 0.4271 0.2804
Dy 0.5000 0.5000 0.0000
Dy 0.4271 0.3533 0.2804
Dy 0.0729 0.5729 0.7196
Dy 0.1467 0.0729 0.7196
Dy 0.5729 0.6467 0.7196
Nd 0.1182 0.3818 0.0000
Nd 0.8818 0.6182 0.0000
Nd 0.3818 0.8818 0.0000
Nd 0.6182 0.1182 0.0000
Y 0.7500 0.2500 0.5000
Y 0.2500 0.7500 0.5000
Tb 0.2500 0.2500 0.5000
Tb 0.7500 0.7500 0.5000

A plane-wave DFT calculation with GGA-PBE was carried out for Tb2Nd2DyY2 after structural relaxation.

abc: 3.5329 6.1660 11.8677
angles: 72.09 90.00 106.65
Atoms (fractional coordinates):
Dy 0.0000 0.0000 0.5000
Tb 0.7722 0.5445 0.3647
Tb 0.2278 0.4555 0.6353
Y 0.4509 0.9018 0.7708
Y 0.5491 0.0982 0.2292
Nd 0.3272 0.6543 0.0860
Nd 0.6728 0.3457 0.9140

Sequential ΔH_f (0 K) output: 137.1; 17.6; 16.3; 120.2; 10.0; -1.6; 269.5; 84.2 meV/atom